A plane-wave DFT calculation with PBE-GGA was carried out for an optimized crystal structure of YHgAs2.

Output
For the raw total energy, the calculation gives -4.199 eV per atom.

Cell: 3.7555 3.7555 23.8455 Å, 90.00 90.00 120.00°
Space group R3m (No. 160, hexagonal axes)
Unique sites:
Y  0.0000  0.0000  0.0000 (multiplicity 3)
Hg  0.0000  0.0000  0.7616 (multiplicity 3)
As  0.0000  0.0000  0.2498 (multiplicity 3)
As  0.0000  0.0000  0.5155 (multiplicity 3)